# 1
DyNp5S6: relaxed, GGA-PBE.

Values from the calculation:
Its symmetry is C2/m. As for the theoretical density: 10149 kg/m3. The calculation puts the total energy at -9.32 eV/atom. Its spin magnetization is 20.648 μB per formula unit.

a = 6.757 Å, b = 6.757 Å, c = 6.758 Å
α = 99.57°, β = 99.57°, γ = 120.01°
Fractional coordinates of all 12 atoms:
Np: 0.166 0.834 0.500
S: 0.916 0.581 0.748
Np: 0.834 0.166 0.500
Np: 0.500 0.500 0.500
Np: 0.667 0.333 0.000
Dy: 0.000 0.000 0.000
S: 0.581 0.916 0.748
S: 0.084 0.419 0.252
S: 0.252 0.252 0.749
S: 0.419 0.084 0.252
S: 0.748 0.748 0.251
Np: 0.333 0.667 0.000

***

# 2
BeB: relaxed, GGA-PBE.

Values from the calculation:
For the energy above the most stable polymorph in this dataset, the calculation gives 0.006 eV/atom. Its symmetry is P-1. Its energy relative to the elements is 37 meV per atom. As for the theoretical density: 2147 kg/m3. Its spin magnetization is 0.000 μB per formula unit.

a = 2.988 Å, b = 3.130 Å, c = 3.736 Å
α = 65.71°, β = 89.11°, γ = 75.47°
Fractional coordinates of all 4 atoms:
Be: 0.689 0.777 0.296
B: 0.740 0.522 0.888
B: 0.260 0.478 0.112
Be: 0.311 0.223 0.704

***

# 3
TaRe2Mo: relaxed, GGA-PBE.

Values from the calculation:
For the energy above the most stable polymorph in this dataset, the calculation gives 0.082 eV/atom. Its symmetry is C2/m. Its energy relative to the elements is -70 meV per atom. As for the theoretical density: 16959 kg/m3. Its spin magnetization is 0.000 μB per formula unit.

a = 5.243 Å, b = 5.247 Å, c = 2.752 Å
α = 79.79°, β = 80.21°, γ = 117.07°
Fractional coordinates of all 4 atoms:
Re: 0.000 0.000 0.000
Mo: 0.500 0.500 0.000
Re: 0.500 0.000 0.500
Ta: 0.000 0.500 0.500

***

# 4
BaEuTeBr: relaxed, GGA-PBE.

Values from the calculation:
Its symmetry is F-43m. As for the theoretical density: 6193 kg/m3. The calculation puts the total energy at -5.73 eV/atom. Its spin magnetization is 7.944 μB per formula unit.

a = 5.733 Å, b = 5.733 Å, c = 5.733 Å
α = 60.00°, β = 60.00°, γ = 60.00°
Fractional coordinates of all 4 atoms:
Te: 0.250 0.250 0.250
Br: 0.750 0.750 0.750
Eu: 0.000 0.000 0.000
Ba: 0.500 0.500 0.500

***

# 5
Pm2Er3Pt2: relaxed, GGA-PBE.

Values from the calculation:
Its symmetry is C2/m. Its energy relative to the elements is -791 meV per atom. As for the theoretical density: 10423 kg/m3. Its spin magnetization is 0.000 μB per formula unit.

a = 3.752 Å, b = 6.489 Å, c = 9.089 Å
α = 116.00°, β = 90.00°, γ = 106.80°
Fractional coordinates of all 7 atoms:
Pm: 0.161 0.321 0.812
Pt: 0.168 0.337 0.241
Er: 0.616 0.233 0.436
Er: 0.500 0.000 0.000
Er: 0.384 0.767 0.564
Pt: 0.832 0.663 0.759
Pm: 0.839 0.679 0.188

***

# 6
SmEuZnRh: relaxed, GGA-PBE.

Values from the calculation:
Its symmetry is F-43m. Its energy relative to the elements is -408 meV per atom. As for the theoretical density: 8509 kg/m3. Its spin magnetization is 6.915 μB per formula unit.

a = 5.064 Å, b = 5.064 Å, c = 5.064 Å
α = 60.00°, β = 60.00°, γ = 60.00°
Fractional coordinates of all 4 atoms:
Zn: 0.000 0.000 0.000
Rh: 0.500 0.500 0.500
Sm: 0.250 0.250 0.250
Eu: 0.750 0.750 0.750

***

# 7
PuSiAu2: relaxed, GGA-PBE.

Values from the calculation:
Its symmetry is Immm. As for the theoretical density: 13237 kg/m3. The calculation puts the total energy at -6.95 eV/atom. Its spin magnetization is 5.369 μB per formula unit.

a = 4.399 Å, b = 8.987 Å, c = 9.823 Å
α = 117.22°, β = 102.94°, γ = 90.00°
Fractional coordinates of all 16 atoms:
Au: 0.314 0.655 0.629
Au: 0.918 0.918 0.837
Au: 0.082 0.082 0.163
Pu: 0.500 0.244 0.000
Au: 0.686 0.026 0.371
Au: 0.686 0.345 0.371
Pu: 0.500 0.756 0.000
Au: 0.922 0.422 0.843
Si: 0.147 0.408 0.293
Pu: 0.289 0.289 0.578
Au: 0.078 0.578 0.157
Si: 0.853 0.592 0.707
Au: 0.314 0.974 0.629
Pu: 0.711 0.711 0.422
Si: 0.147 0.885 0.293
Si: 0.853 0.115 0.707

***

# 8
HoErAgRu: relaxed, GGA-PBE.

Values from the calculation:
For the energy above the most stable polymorph in this dataset, the calculation gives 0.000 eV/atom. Its symmetry is P4mm. Its energy relative to the elements is -441 meV per atom. As for the theoretical density: 10421 kg/m3. Its spin magnetization is 0.000 μB per formula unit.

a = 3.397 Å, b = 3.397 Å, c = 7.471 Å
α = 90.00°, β = 90.00°, γ = 90.00°
Fractional coordinates of all 4 atoms:
Ag: 0.000 0.000 0.073
Ho: 0.500 0.500 0.793
Er: 0.500 0.500 0.349
Ru: 0.000 0.000 0.570

***

# 9
Sr2Pu2Pd15: relaxed, GGA-PBE.

Values from the calculation:
Its symmetry is R-3m. Its energy relative to the elements is -395 meV per atom. As for the theoretical density: 10475 kg/m3. Its spin magnetization is 9.634 μB per formula unit.

a = 7.172 Å, b = 7.172 Å, c = 7.172 Å
α = 81.66°, β = 81.66°, γ = 81.66°
Fractional coordinates of all 19 atoms:
Pd: 0.000 0.000 0.500
Pd: 0.302 0.698 0.000
Pd: 0.302 0.000 0.698
Sr: 0.357 0.357 0.357
Sr: 0.643 0.643 0.643
Pd: 0.346 0.346 0.845
Pd: 0.346 0.845 0.346
Pd: 0.698 0.000 0.302
Pd: 0.000 0.302 0.698
Pd: 0.000 0.500 0.000
Pd: 0.698 0.302 0.000
Pd: 0.000 0.698 0.302
Pd: 0.155 0.654 0.654
Pu: 0.900 0.900 0.900
Pd: 0.654 0.654 0.155
Pd: 0.500 0.000 0.000
Pd: 0.654 0.155 0.654
Pd: 0.845 0.346 0.346
Pu: 0.100 0.100 0.100

***

# 10
TaNbV: relaxed, GGA-PBE.

Values from the calculation:
For the energy above the most stable polymorph in this dataset, the calculation gives 0.014 eV/atom. Its symmetry is C2/m. Its energy relative to the elements is 40 meV per atom. As for the theoretical density: 10709 kg/m3. Its spin magnetization is 0.000 μB per formula unit.

a = 5.333 Å, b = 5.333 Å, c = 7.938 Å
α = 42.42°, β = 42.42°, γ = 50.61°
Fractional coordinates of all 6 atoms:
V: 0.909 0.909 0.929
Nb: 0.749 0.749 0.764
V: 0.091 0.091 0.071
Ta: 0.589 0.589 0.583
Ta: 0.411 0.411 0.417
Nb: 0.251 0.251 0.236

***

# 11
Ti2Tl2Au: relaxed, GGA-PBE.

Values from the calculation:
Its symmetry is P4/mbm. Its energy relative to the elements is 136 meV per atom. As for the theoretical density: 10744 kg/m3. Its spin magnetization is 2.051 μB per formula unit.

a = 6.936 Å, b = 6.936 Å, c = 4.507 Å
α = 90.00°, β = 90.00°, γ = 90.00°
Fractional coordinates of all 10 atoms:
Tl: 0.331 0.169 0.500
Ti: 0.865 0.635 0.000
Ti: 0.635 0.135 0.000
Tl: 0.831 0.331 0.500
Au: 0.500 0.500 0.000
Au: 0.000 0.000 0.000
Tl: 0.169 0.669 0.500
Tl: 0.669 0.831 0.500
Ti: 0.365 0.865 0.000
Ti: 0.135 0.365 0.000

***

# 12
Gd2GaTc: relaxed, GGA-PBE.

Values from the calculation:
For the energy above the most stable polymorph in this dataset, the calculation gives 0.648 eV/atom. Its symmetry is R-3m. Its energy relative to the elements is 417 meV per atom. As for the theoretical density: 8558 kg/m3. Its spin magnetization is 13.986 μB per formula unit.

a = 3.264 Å, b = 3.264 Å, c = 10.312 Å
α = 80.89°, β = 80.89°, γ = 60.00°
Fractional coordinates of all 4 atoms:
Gd: 0.914 0.914 0.259
Gd: 0.086 0.086 0.741
Ga: 0.500 0.500 0.500
Tc: 0.000 0.000 0.000